GGA-PBE CaSmGeAu, relaxed; DFT formation energy = -761 meV per atom; size of the total moment = 0.000 μB per atom; space-group type = F-43m
1.0
5.1592 0.0000 0.0000
2.5796 4.4680 0.0000
2.5796 1.4893 4.2125
Ca Au Ge Sm
1 1 1 1
direct
0.5000 0.5000 0.5000 Ca
0.7500 0.7500 0.7500 Au
0.2500 0.2500 0.2500 Ge
0.0000 0.0000 0.0000 Sm

---

GGA-PBE Ca3Sn2GeAu6, relaxed; DFT formation energy = -478 meV per atom; size of the total moment = 0.000 μB per atom; space-group type = P-3m1
1.0
6.0305 0.0000 0.0000
-3.0152 5.2226 0.0000
0.0000 0.0000 9.1588
Au Sn Ca Ge
6 2 3 1
direct
0.8305 0.1695 0.7118 Au
0.1695 0.3390 0.2882 Au
0.1695 0.8305 0.2882 Au
0.8305 0.6610 0.7118 Au
0.3390 0.1695 0.7118 Au
0.6610 0.8305 0.2882 Au
0.6667 0.3333 0.9562 Sn
0.3333 0.6667 0.0438 Sn
0.6667 0.3333 0.3941 Ca
0.3333 0.6667 0.6059 Ca
0.0000 0.0000 0.0000 Ca
0.0000 0.0000 0.5000 Ge

---

GGA-PBE CaSnGe2Au6, relaxed; DFT formation energy = -184 meV per atom; size of the total moment = 0.000 μB per atom; space-group type = C2/c
1.0
-1.3736 -7.0152 1.8933
-3.1543 -4.7382 -4.7206
8.8786 -1.5762 -2.9331
Au Ge Sn Ca
12 4 2 2
direct
0.5247 0.3093 0.9419 Au
0.5386 0.8327 0.3856 Au
0.4753 0.6907 0.0581 Au
0.1069 0.1661 0.4440 Au
0.8931 0.8339 0.5560 Au
0.6907 0.4753 0.5581 Au
0.8339 0.8931 0.0560 Au
0.1673 0.4614 0.1144 Au
0.4614 0.1673 0.6144 Au
0.1661 0.1069 0.9440 Au
0.3093 0.5247 0.4419 Au
0.8327 0.5386 0.8856 Au
0.0579 0.4490 0.6608 Ge
0.4490 0.0579 0.1608 Ge
0.9421 0.5510 0.3392 Ge
0.5510 0.9421 0.8392 Ge
0.1593 0.8407 0.2500 Sn
0.8407 0.1593 0.7500 Sn
0.3102 0.6898 0.7500 Ca
0.6898 0.3102 0.2500 Ca

---

GGA-PBE Ca3Sn2Ge2Au4, relaxed; DFT formation energy = -616 meV per atom; size of the total moment = 0.000 μB per atom; space-group type = P-3m1
1.0
-3.8346 -2.1325 -1.5778
4.2113 -1.4690 -1.3596
0.4191 -8.5479 10.5344
Au Sn Ca Ge
4 2 3 2
direct
0.6667 0.3333 0.6387 Au
0.3333 0.6667 0.3613 Au
0.6667 0.3333 0.1308 Au
0.3333 0.6667 0.8692 Au
0.3333 0.6667 0.5719 Sn
0.6667 0.3333 0.4281 Sn
0.0000 0.0000 0.7382 Ca
0.0000 0.0000 0.0000 Ca
0.0000 0.0000 0.2618 Ca
0.3333 0.6667 0.1518 Ge
0.6667 0.3333 0.8482 Ge

---

GGA-PBE Ca3SnGe2Au6, relaxed; DFT formation energy = -437 meV per atom; size of the total moment = 0.000 μB per atom; space-group type = P-3m1
1.0
5.8902 0.0000 0.0000
-2.9451 5.1011 0.0000
0.0000 0.0000 9.7479
Au Ca Ge Sn
6 3 2 1
direct
0.8321 0.6642 0.7288 Au
0.1679 0.3358 0.2712 Au
0.8321 0.1679 0.7288 Au
0.1679 0.8321 0.2712 Au
0.6642 0.8321 0.2712 Au
0.3358 0.1679 0.7288 Au
0.6667 0.3333 0.3957 Ca
0.3333 0.6667 0.6043 Ca
0.0000 0.0000 0.0000 Ca
0.3333 0.6667 0.0688 Ge
0.6667 0.3333 0.9312 Ge
0.0000 0.0000 0.5000 Sn

---

GGA-PBE Ca3SnGe2Au9, relaxed; DFT formation energy = -270 meV per atom; size of the total moment = 0.000 μB per atom; space-group type = P-3m1
1.0
-1.7968 -7.6413 1.7817
4.5789 4.3304 5.0073
-5.4636 2.0386 3.2332
Au Ca Ge Sn
9 3 2 1
direct
0.1716 0.3433 0.3178 Au
0.8284 0.1716 0.6822 Au
0.1716 0.8284 0.3178 Au
0.8284 0.6567 0.6822 Au
0.6567 0.8284 0.3178 Au
0.5000 0.0000 0.0000 Au
0.5000 0.5000 0.0000 Au
0.0000 0.5000 0.0000 Au
0.3433 0.1716 0.6822 Au
0.3333 0.6667 0.6588 Ca
0.0000 0.0000 0.0000 Ca
0.6667 0.3333 0.3412 Ca
0.6667 0.3333 0.8542 Ge
0.3333 0.6667 0.1458 Ge
0.0000 0.0000 0.5000 Sn

---

| no. | calculated volume (Å³ per atom) |
| --- | --- |
| 1 | 24.28 |
| 2 | 24.04 |
| 3 | 21.96 |
| 4 | 23.23 |
| 5 | 24.41 |
| 6 | 24.94 |